{
  "formula": "ErNbCuTc",
  "functional": "PBE",
  "state": "optimized geometry",
  "dos_at_fermi_per_ev_cell": 3.78,
  "ef_kj_per_mol_fu": -11,
  "cell": [[0.0000, 3.2791, 3.2791], [3.2791, 0.0000, 3.2791], [3.2791, 3.2791, 0.0000]],
  "species": ["Er", "Nb", "Cu", "Tc"],
  "frac_coords": [[0.0000, 0.0000, 0.0000], [0.5000, 0.5000, 0.5000], [0.2500, 0.2500, 0.2500], [0.7500, 0.7500, 0.7500]]
}

{
  "formula": "NdEr4Cu5",
  "functional": "PBE",
  "state": "optimized geometry",
  "dos_at_fermi_per_ev_cell": 3.97,
  "ef_kj_per_mol_fu": -244,
  "cell": [[3.4402, 0.0000, 0.0000], [0.0000, 3.4402, 0.0000], [0.0000, 0.0000, 17.5640]],
  "species": ["Nd", "Er", "Er", "Er", "Er", "Cu", "Cu", "Cu", "Cu", "Cu"],
  "frac_coords": [[0.0000, 0.0000, 0.0000], [0.0000, 0.0000, 0.2053], [0.0000, 0.0000, 0.4016], [0.0000, 0.0000, 0.5984], [0.0000, 0.0000, 0.7947], [0.5000, 0.5000, 0.1118], [0.5000, 0.5000, 0.3032], [0.5000, 0.5000, 0.5000], [0.5000, 0.5000, 0.6968], [0.5000, 0.5000, 0.8882]]
}

{
  "formula": "Nd2ErCu9",
  "functional": "PBE",
  "state": "optimized geometry",
  "dos_at_fermi_per_ev_cell": 7.77,
  "ef_kj_per_mol_fu": -174,
  "cell": [[2.5873, 1.4938, 8.5013], [-2.5873, 1.4938, 8.5013], [0.0000, -2.9876, 8.5013]],
  "species": ["Nd", "Nd", "Er", "Cu", "Cu", "Cu", "Cu", "Cu", "Cu", "Cu", "Cu", "Cu"],
  "frac_coords": [[0.1397, 0.1397, 0.1397], [0.8603, 0.8603, 0.8603], [0.0000, 0.0000, 0.0000], [0.0817, 0.5783, 0.5783], [0.3322, 0.3322, 0.3322], [0.4217, 0.4217, 0.9183], [0.4217, 0.9183, 0.4217], [0.5000, 0.5000, 0.5000], [0.5783, 0.0817, 0.5783], [0.5783, 0.5783, 0.0817], [0.6678, 0.6678, 0.6678], [0.9183, 0.4217, 0.4217]]
}

{
  "formula": "Nd2ErCu",
  "functional": "PBE",
  "state": "optimized geometry",
  "relative_energy_ev_per_atom": 0.3103,
  "dos_at_fermi_per_ev_cell": 7.03,
  "ef_kj_per_mol_fu": 106,
  "cell": [[1.7586, 1.0154, 11.0914], [-1.7586, 1.0154, 11.0914], [0.0000, -2.0307, 11.0914]],
  "species": ["Nd", "Nd", "Er", "Cu"],
  "frac_coords": [[0.1022, 0.1022, 0.1022], [0.8978, 0.8978, 0.8978], [0.0000, 0.0000, 0.0000], [0.5000, 0.5000, 0.5000]]
}

{
  "formula": "Nd2ErCu4",
  "functional": "PBE",
  "state": "optimized geometry",
  "dos_at_fermi_per_ev_cell": 4.43,
  "ef_kj_per_mol_fu": -89,
  "cell": [[6.3201, -2.3477, 0.0000], [6.3201, 2.3477, 0.0000], [-0.0049, 0.0000, 5.0529]],
  "species": ["Nd", "Nd", "Er", "Cu", "Cu", "Cu", "Cu"],
  "frac_coords": [[0.1943, 0.1943, 0.2423], [0.8057, 0.8057, 0.7577], [0.5000, 0.5000, 0.0000], [0.0584, 0.0584, 0.7198], [0.4025, 0.4025, 0.4956], [0.5975, 0.5975, 0.5044], [0.9416, 0.9416, 0.2802]]
}

{
  "formula": "NdEr3Cu",
  "functional": "PBE",
  "state": "optimized geometry",
  "dos_at_fermi_per_ev_cell": 5.60,
  "ef_kj_per_mol_fu": 32,
  "cell": [[5.3441, 0.0000, 0.0000], [0.0000, 5.3441, 0.0000], [0.0000, 0.0000, 5.3441]],
  "species": ["Nd", "Er", "Er", "Er", "Cu"],
  "frac_coords": [[0.0000, 0.0000, 0.0000], [0.0000, 0.5000, 0.5000], [0.5000, 0.0000, 0.5000], [0.5000, 0.5000, 0.0000], [0.5000, 0.5000, 0.5000]]
}

{
  "formula": "NdErCu2",
  "functional": "PBE",
  "state": "optimized geometry",
  "relative_energy_ev_per_atom": 0.0000,
  "dos_at_fermi_per_ev_cell": 1.97,
  "ef_kj_per_mol_fu": -83,
  "cell": [[3.4928, 0.0000, 0.0000], [0.0000, 3.4928, 0.0000], [0.0000, 0.0000, 7.0879]],
  "species": ["Nd", "Er", "Cu", "Cu"],
  "frac_coords": [[0.0000, 0.0000, 0.0000], [0.0000, 0.0000, 0.5000], [0.5000, 0.5000, 0.2756], [0.5000, 0.5000, 0.7244]]
}

{
  "formula": "Nd5ErCu6",
  "functional": "PBE",
  "state": "optimized geometry",
  "dos_at_fermi_per_ev_cell": 8.59,
  "ef_kj_per_mol_fu": -186,
  "cell": [[7.9970, -3.5464, 0.0000], [7.9970, 3.5464, 0.0000], [-1.5896, 0.0000, 4.8004]],
  "species": ["Nd", "Nd", "Nd", "Nd", "Nd", "Er", "Cu", "Cu", "Cu", "Cu", "Cu", "Cu"],
  "frac_coords": [[0.0000, 0.0000, 0.0000], [0.1661, 0.1661, 0.6659], [0.3326, 0.3326, 0.3335], [0.6674, 0.6674, 0.6665], [0.8339, 0.8339, 0.3341], [0.5000, 0.5000, 0.0000], [0.0993, 0.5791, 0.8411], [0.2687, 0.7313, 0.5000], [0.4209, 0.9007, 0.1589], [0.5791, 0.0993, 0.8411], [0.7313, 0.2687, 0.5000], [0.9007, 0.4209, 0.1589]]
}

Listing E_tot for the structures above in their given order: -7.301 -4.603 -4.397 -4.275 -4.486 -4.443 -4.595 -4.575 eV per atom.